Below is an optimized crystal structure of KLiMn, with properties calculated at the PBEsol level.

Values from the calculation:
The value obtained for the density of states at the Fermi level is 3.1 states/eV/cell. The calculation puts the total energy at -9.47 eV/cell.

a = 5.344 Å, b = 5.344 Å, c = 5.344 Å
α = 60.00°, β = 60.00°, γ = 60.00°
Last column: magnetic moment on the atom in μB.
Positions (direct):
Li: 0.500 0.500 0.500  -0.01
Mn: 0.250 0.250 0.250  4.23
K: 0.000 0.000 0.000  0.01

---

Below is an optimized crystal structure of Cd2MoOs, with properties calculated at the PBEsol level.

Values from the calculation:
The value obtained for the density of states at the Fermi level is 3.6 states/eV/cell. The calculation puts the total energy at -23.85 eV/cell. The distance to the lowest polymorph of the same formula comes out at 0.0511 eV/atom.

a = 3.833 Å, b = 3.833 Å, c = 4.545 Å
α = 90.00°, β = 90.00°, γ = 90.00°
Positions (direct):
Mo: 0.500 0.500 0.500
Cd: 0.500 0.000 0.000
Cd: 0.000 0.500 0.000
Os: 0.000 0.000 0.500

---

Number 1: energy of formation 3.40 eV per formula unit. Number 2: energy of formation 2.53 eV per formula unit.